Entry 1:
# PrGd2Lu

An optimized crystal structure of PrGd2Lu (PBE, Alexandria via LeMat-Bulk).

Cell lengths 3.588, 3.588, 35.090 Å; angles 90.00, 90.00, 120.00 degrees
Element x y z (fractional)
Pr 0.000 0.000 0.000
Pr 0.333 0.667 0.667
Pr 0.667 0.333 0.333
Gd 0.000 0.000 0.248
Gd 0.000 0.000 0.752
Gd 0.333 0.667 0.419
Gd 0.333 0.667 0.914
Gd 0.667 0.333 0.086
Gd 0.667 0.333 0.581
Lu 0.000 0.000 0.500
Lu 0.333 0.667 0.167
Lu 0.667 0.333 0.833

Computed properties:
Formation enthalpy at 0 K in eV per atom: 0.034
Final energy in eV per atom: -9.33


Entry 2:
# PrGd2Lu

An optimized crystal structure of PrGd2Lu (PBE, Alexandria via LeMat-Bulk).

Cell lengths 3.605, 3.605, 10.055 Å; angles 90.00, 90.00, 90.00 degrees
Element x y z (fractional)
Pr 0.000 0.000 0.000
Gd 0.500 0.500 0.259
Gd 0.500 0.500 0.741
Lu 0.000 0.000 0.500

Computed properties:
Formation enthalpy at 0 K in eV per atom: 0.033
Final energy in eV per atom: -9.33


Entry 3:
# PrGdLu

An optimized crystal structure of PrGdLu (PBE, Alexandria via LeMat-Bulk).

Cell lengths 5.698, 5.698, 3.473 Å; angles 90.00, 90.00, 120.00 degrees
Element x y z (fractional)
Pr 0.000 0.000 0.000
Gd 0.667 0.333 0.501
Lu 0.333 0.667 0.499

Computed properties:
Formation enthalpy at 0 K in eV per atom: 0.072
Final energy in eV per atom: -7.72


Entry 4:
# PrGdLu4

An optimized crystal structure of PrGdLu4 (PBE, Alexandria via LeMat-Bulk).

Cell lengths 6.552, 6.552, 6.552 Å; angles 60.00, 60.00, 60.00 degrees
Element x y z (fractional)
Pr 0.000 0.000 0.000
Gd 0.750 0.750 0.750
Lu 0.375 0.375 0.375
Lu 0.375 0.375 0.874
Lu 0.375 0.874 0.375
Lu 0.874 0.375 0.375

Computed properties:
Formation enthalpy at 0 K in eV per atom: 0.256
Final energy in eV per atom: -5.90


Entry 5:
# PrGd4Lu

An optimized crystal structure of PrGd4Lu (PBE, Alexandria via LeMat-Bulk).

Cell lengths 6.596, 6.596, 6.596 Å; angles 60.00, 60.00, 60.00 degrees
Element x y z (fractional)
Pr 0.000 0.000 0.000
Gd 0.375 0.375 0.375
Gd 0.375 0.375 0.874
Gd 0.375 0.874 0.375
Gd 0.874 0.375 0.375
Lu 0.750 0.750 0.750

Computed properties:
Formation enthalpy at 0 K in eV per atom: 0.252
Final energy in eV per atom: -10.69


Entry 6:
# PrGd2Lu

An optimized crystal structure of PrGd2Lu (PBE, Alexandria via LeMat-Bulk).

Cell lengths 8.057, 8.057, 8.057 Å; angles 90.00, 90.00, 90.00 degrees
Element x y z (fractional)
Pr 0.000 0.000 0.000
Pr 0.000 0.500 0.500
Pr 0.500 0.000 0.500
Pr 0.500 0.500 0.000
Gd 0.250 0.250 0.250
Gd 0.250 0.250 0.750
Gd 0.250 0.750 0.250
Gd 0.250 0.750 0.750
Gd 0.750 0.250 0.250
Gd 0.750 0.250 0.750
Gd 0.750 0.750 0.250
Gd 0.750 0.750 0.750
Lu 0.000 0.000 0.500
Lu 0.000 0.500 0.000
Lu 0.500 0.000 0.000
Lu 0.500 0.500 0.500

Computed properties:
Formation enthalpy at 0 K in eV per atom: 0.097
Final energy in eV per atom: -9.27


Entry 7:
# PrGdLu

An optimized crystal structure of PrGdLu (PBE, Alexandria via LeMat-Bulk).

Cell lengths 3.610, 3.610, 15.065 Å; angles 90.00, 90.00, 90.00 degrees
Element x y z (fractional)
Pr 0.000 0.000 0.000
Pr 0.500 0.500 0.500
Gd 0.000 0.000 0.328
Gd 0.500 0.500 0.828
Lu 0.000 0.000 0.665
Lu 0.500 0.500 0.165

Computed properties:
Formation enthalpy at 0 K in eV per atom: 0.030
Final energy in eV per atom: -7.76


Entry 8:
# PrGdLuSc

An optimized crystal structure of PrGdLuSc (PBE, Alexandria via LeMat-Bulk).

Cell lengths 7.877, 7.877, 7.877 Å; angles 90.00, 90.00, 90.00 degrees
Element x y z (fractional)
Pr 0.000 0.000 0.000
Pr 0.000 0.500 0.500
Pr 0.500 0.000 0.500
Pr 0.500 0.500 0.000
Gd 0.000 0.000 0.500
Gd 0.000 0.500 0.000
Gd 0.500 0.000 0.000
Gd 0.500 0.500 0.500
Lu 0.250 0.250 0.750
Lu 0.250 0.750 0.250
Lu 0.750 0.250 0.250
Lu 0.750 0.750 0.750
Sc 0.250 0.250 0.250
Sc 0.250 0.750 0.750
Sc 0.750 0.250 0.750
Sc 0.750 0.750 0.250

Computed properties:
Formation enthalpy at 0 K in eV per atom: 0.080
Final energy in eV per atom: -7.35


Entry 9:
# PrSmGdLu

An optimized crystal structure of PrSmGdLu (PBE, Alexandria via LeMat-Bulk).

Cell lengths 8.100, 8.100, 8.100 Å; angles 90.00, 90.00, 90.00 degrees
Element x y z (fractional)
Pr 0.000 0.000 0.000
Pr 0.000 0.500 0.500
Pr 0.500 0.000 0.500
Pr 0.500 0.500 0.000
Sm 0.000 0.000 0.500
Sm 0.000 0.500 0.000
Sm 0.500 0.000 0.000
Sm 0.500 0.500 0.500
Gd 0.250 0.250 0.750
Gd 0.250 0.750 0.250
Gd 0.750 0.250 0.250
Gd 0.750 0.750 0.750
Lu 0.250 0.250 0.250
Lu 0.250 0.750 0.750
Lu 0.750 0.250 0.750
Lu 0.750 0.750 0.250

Computed properties:
Formation enthalpy at 0 K in eV per atom: 0.104
Final energy in eV per atom: -6.92


Entry 10:
# PrGdLuTh

An optimized crystal structure of PrGdLuTh (PBE, Alexandria via LeMat-Bulk).

Cell lengths 8.057, 8.057, 8.057 Å; angles 90.00, 90.00, 90.00 degrees
Element x y z (fractional)
Pr 0.000 0.000 0.000
Pr 0.000 0.500 0.500
Pr 0.500 0.000 0.500
Pr 0.500 0.500 0.000
Gd 0.250 0.250 0.750
Gd 0.250 0.750 0.250
Gd 0.750 0.250 0.250
Gd 0.750 0.750 0.750
Lu 0.250 0.250 0.250
Lu 0.250 0.750 0.750
Lu 0.750 0.250 0.750
Lu 0.750 0.750 0.250
Th 0.000 0.000 0.500
Th 0.000 0.500 0.000
Th 0.500 0.000 0.000
Th 0.500 0.500 0.500

Computed properties:
Formation enthalpy at 0 K in eV per atom: 0.131
Final energy in eV per atom: -7.57


Entry 11:
# PrGdLuTl

An optimized crystal structure of PrGdLuTl (PBE, Alexandria via LeMat-Bulk).

Cell lengths 7.818, 7.818, 7.818 Å; angles 90.00, 90.00, 90.00 degrees
Element x y z (fractional)
Pr 0.000 0.000 0.000
Pr 0.000 0.500 0.500
Pr 0.500 0.000 0.500
Pr 0.500 0.500 0.000
Gd 0.000 0.000 0.500
Gd 0.000 0.500 0.000
Gd 0.500 0.000 0.000
Gd 0.500 0.500 0.500
Lu 0.250 0.250 0.750
Lu 0.250 0.750 0.250
Lu 0.750 0.250 0.250
Lu 0.750 0.750 0.750
Tl 0.250 0.250 0.250
Tl 0.250 0.750 0.750
Tl 0.750 0.250 0.750
Tl 0.750 0.750 0.250

Computed properties:
Formation enthalpy at 0 K in eV per atom: -0.085
Final energy in eV per atom: -6.52


Entry 12:
# PrGdTmLu

An optimized crystal structure of PrGdTmLu (PBE, Alexandria via LeMat-Bulk).

Cell lengths 8.020, 8.020, 8.020 Å; angles 90.00, 90.00, 90.00 degrees
Element x y z (fractional)
Pr 0.000 0.000 0.000
Pr 0.000 0.500 0.500
Pr 0.500 0.000 0.500
Pr 0.500 0.500 0.000
Gd 0.000 0.000 0.500
Gd 0.000 0.500 0.000
Gd 0.500 0.000 0.000
Gd 0.500 0.500 0.500
Tm 0.250 0.250 0.250
Tm 0.250 0.750 0.750
Tm 0.750 0.250 0.750
Tm 0.750 0.750 0.250
Lu 0.250 0.250 0.750
Lu 0.250 0.750 0.250
Lu 0.750 0.250 0.250
Lu 0.750 0.750 0.750

Computed properties:
Formation enthalpy at 0 K in eV per atom: 0.085
Final energy in eV per atom: -6.88


Entry 13:
# PrGdLuZr

An optimized crystal structure of PrGdLuZr (PBE, Alexandria via LeMat-Bulk).

Cell lengths 7.811, 7.811, 7.811 Å; angles 90.00, 90.00, 90.00 degrees
Element x y z (fractional)
Pr 0.000 0.000 0.000
Pr 0.000 0.500 0.500
Pr 0.500 0.000 0.500
Pr 0.500 0.500 0.000
Gd 0.250 0.250 0.250
Gd 0.250 0.750 0.750
Gd 0.750 0.250 0.750
Gd 0.750 0.750 0.250
Lu 0.250 0.250 0.750
Lu 0.250 0.750 0.250
Lu 0.750 0.250 0.250
Lu 0.750 0.750 0.750
Zr 0.000 0.000 0.500
Zr 0.000 0.500 0.000
Zr 0.500 0.000 0.000
Zr 0.500 0.500 0.500

Computed properties:
Formation enthalpy at 0 K in eV per atom: 0.211
Final energy in eV per atom: -7.77


Entry 14:
# GdLuPt4

An optimized crystal structure of GdLuPt4 (PBE, Alexandria via LeMat-Bulk).

Cell lengths 5.425, 5.425, 5.425 Å; angles 60.00, 60.00, 60.00 degrees
Element x y z (fractional)
Gd 0.000 0.000 0.000
Lu 0.750 0.750 0.750
Pt 0.375 0.375 0.375
Pt 0.375 0.375 0.874
Pt 0.375 0.874 0.375
Pt 0.874 0.375 0.375

Computed properties:
Formation enthalpy at 0 K in eV per atom: -1.115
Final energy in eV per atom: -8.24


Entry 15:
# GdLu2Pt

An optimized crystal structure of GdLu2Pt (PBE, Alexandria via LeMat-Bulk).

Cell lengths 3.490, 3.490, 8.484 Å; angles 90.00, 90.00, 90.00 degrees
Element x y z (fractional)
Gd 0.000 0.000 0.000
Lu 0.500 0.500 0.310
Lu 0.500 0.500 0.690
Pt 0.000 0.000 0.500

Computed properties:
Formation enthalpy at 0 K in eV per atom: -0.653
Final energy in eV per atom: -7.94


Entry 16:
# GdLuPtRh

An optimized crystal structure of GdLuPtRh (PBE, Alexandria via LeMat-Bulk).

Cell lengths 6.885, 6.885, 6.885 Å; angles 90.00, 90.00, 90.00 degrees
Element x y z (fractional)
Gd 0.000 0.000 0.000
Gd 0.000 0.500 0.500
Gd 0.500 0.000 0.500
Gd 0.500 0.500 0.000
Lu 0.000 0.000 0.500
Lu 0.000 0.500 0.000
Lu 0.500 0.000 0.000
Lu 0.500 0.500 0.500
Pt 0.250 0.250 0.250
Pt 0.250 0.750 0.750
Pt 0.750 0.250 0.750
Pt 0.750 0.750 0.250
Rh 0.250 0.250 0.750
Rh 0.250 0.750 0.250
Rh 0.750 0.250 0.250
Rh 0.750 0.750 0.750

Computed properties:
Formation enthalpy at 0 K in eV per atom: -1.052
Final energy in eV per atom: -9.05


Entry 17:
# GdLuRuPt

An optimized crystal structure of GdLuRuPt (PBE, Alexandria via LeMat-Bulk).

Cell lengths 6.848, 6.848, 6.848 Å; angles 90.00, 90.00, 90.00 degrees
Element x y z (fractional)
Gd 0.000 0.000 0.000
Gd 0.000 0.500 0.500
Gd 0.500 0.000 0.500
Gd 0.500 0.500 0.000
Lu 0.000 0.000 0.500
Lu 0.000 0.500 0.000
Lu 0.500 0.000 0.000
Lu 0.500 0.500 0.500
Ru 0.250 0.250 0.250
Ru 0.250 0.750 0.750
Ru 0.750 0.250 0.750
Ru 0.750 0.750 0.250
Pt 0.250 0.250 0.750
Pt 0.250 0.750 0.250
Pt 0.750 0.250 0.250
Pt 0.750 0.750 0.750

Computed properties:
Formation enthalpy at 0 K in eV per atom: -0.800
Final energy in eV per atom: -9.28


Entry 18:
# GdLuSnPt

An optimized crystal structure of GdLuSnPt (PBE, Alexandria via LeMat-Bulk).

Cell lengths 7.238, 7.238, 7.238 Å; angles 90.00, 90.00, 90.00 degrees
Element x y z (fractional)
Gd 0.000 0.000 0.000
Gd 0.000 0.500 0.500
Gd 0.500 0.000 0.500
Gd 0.500 0.500 0.000
Lu 0.000 0.000 0.500
Lu 0.000 0.500 0.000
Lu 0.500 0.000 0.000
Lu 0.500 0.500 0.500
Sn 0.250 0.250 0.750
Sn 0.250 0.750 0.250
Sn 0.750 0.250 0.250
Sn 0.750 0.750 0.750
Pt 0.250 0.250 0.250
Pt 0.250 0.750 0.750
Pt 0.750 0.250 0.750
Pt 0.750 0.750 0.250

Computed properties:
Formation enthalpy at 0 K in eV per atom: -0.852
Final energy in eV per atom: -8.01


Entry 19:
# GdLuTcPt

An optimized crystal structure of GdLuTcPt (PBE, Alexandria via LeMat-Bulk).

Cell lengths 6.850, 6.850, 6.850 Å; angles 90.00, 90.00, 90.00 degrees
Element x y z (fractional)
Gd 0.000 0.000 0.000
Gd 0.000 0.500 0.500
Gd 0.500 0.000 0.500
Gd 0.500 0.500 0.000
Lu 0.000 0.000 0.500
Lu 0.000 0.500 0.000
Lu 0.500 0.000 0.000
Lu 0.500 0.500 0.500
Tc 0.250 0.250 0.750
Tc 0.250 0.750 0.250
Tc 0.750 0.250 0.250
Tc 0.750 0.750 0.750
Pt 0.250 0.250 0.250
Pt 0.250 0.750 0.750
Pt 0.750 0.250 0.750
Pt 0.750 0.750 0.250

Computed properties:
Formation enthalpy at 0 K in eV per atom: -0.562
Final energy in eV per atom: -9.31


Entry 20:
# Gd2LuPu

An optimized crystal structure of Gd2LuPu (PBE, Alexandria via LeMat-Bulk).

Cell lengths 4.929, 4.929, 4.919 Å; angles 90.00, 90.00, 90.00 degrees
Element x y z (fractional)
Gd 0.000 0.500 0.000
Gd 0.500 0.000 0.000
Lu 0.000 0.000 0.500
Pu 0.500 0.500 0.500

Computed properties:
Formation enthalpy at 0 K in eV per atom: 0.136
Final energy in eV per atom: -11.62